Computed, not measured: a relaxed structure of PmEr4Tl5 at the GGA-PBE level of DFT.

Computed properties:
DOS(E_F) = 7.81 states/eV/f.u.
total magnetization = 0.0 μB per formula unit
DFT formation energy = -3.28 eV per formula unit
symmetry = P4/mmm
volume = 27.2 A^3/atom
total energy = -3.81 eV/atom

```
PmEr4Tl5
1.0
3.750 0.000 0.000
0.000 3.750 0.000
0.000 0.000 19.371
Pm Er Tl
1 4 5
Direct
0.000 0.000 0.000
0.000 0.000 0.205
0.000 0.000 0.402
0.000 0.000 0.598
0.000 0.000 0.795
0.500 0.500 0.107
0.500 0.500 0.304
0.500 0.500 0.500
0.500 0.500 0.696
0.500 0.500 0.893
```